ScAl4Hg | PBE | optimized geometry

Calculated volume in Å³ per atom: 19.048
Formation energy in eV per atom: -0.078
N(E_F) in states/eV per atom: 0.914
Energy in eV/atom: -3.679

a b c (Å): 5.447 5.447 5.447
angles (deg): 60.00 60.00 60.00
Fractional coordinates of all 6 atoms:
Sc 0.000 0.000 0.000
Al 0.123 0.626 0.626
Al 0.626 0.123 0.626
Al 0.626 0.626 0.123
Al 0.626 0.626 0.626
Hg 0.250 0.250 0.250